Density functional theory data (GGA-PBE) for AcBiS after structural relaxation.

Calculated values
Final energy in eV/atom: -5.38
N(E_F) in states/eV/atom: 0.322
Calculated volume in Å³/atom: 31.94
Formation energy from raw total energies in eV/atom: -1.3383
Theoretical density in Mg/m³: 8.11

a b c (Å): 4.352 4.352 10.401
angles (deg): 99.54 99.54 88.59
Fractional coordinates of all 6 atoms:
Ac 0.192 0.192 0.322
Ac 0.808 0.808 0.678
Bi 0.227 0.227 0.968
Bi 0.773 0.773 0.032
S 0.296 0.296 0.619
S 0.704 0.704 0.381

---

Density functional theory data (GGA-PBE) for Ac5Bi4S after structural relaxation.

Calculated values
Final energy in eV/atom: -5.18
N(E_F) in states/eV/atom: 0.350
Calculated volume in Å³/atom: 38.58
Formation energy from raw total energies in eV/atom: -1.1639
Theoretical density in Mg/m³: 8.62

a b c (Å): 12.619 12.619 12.619
angles (deg): 158.23 148.78 38.38
Fractional coordinates of all 10 atoms:
Ac 0.000 0.000 0.000
Ac 0.202 0.202 0.000
Ac 0.409 0.409 0.000
Ac 0.591 0.591 0.000
Ac 0.798 0.798 0.000
Bi 0.100 0.600 0.500
Bi 0.306 0.806 0.500
Bi 0.694 0.194 0.500
Bi 0.900 0.400 0.500
S 0.500 0.000 0.500

---

Density functional theory data (GGA-PBE) for AcBiS after structural relaxation.

Calculated values
Final energy in eV/atom: -5.07
N(E_F) in states/eV/atom: 0.090
Calculated volume in Å³/atom: 35.35
Formation energy from raw total energies in eV/atom: -1.0274
Theoretical density in Mg/m³: 7.33

a b c (Å): 6.738 6.738 9.461
angles (deg): 90.00 90.00 99.01
Fractional coordinates of all 12 atoms:
Ac 0.141 0.859 0.819
Ac 0.359 0.641 0.319
Ac 0.641 0.359 0.681
Ac 0.859 0.141 0.181
Bi 0.168 0.168 0.500
Bi 0.332 0.332 0.000
Bi 0.668 0.668 0.000
Bi 0.832 0.832 0.500
S 0.139 0.861 0.125
S 0.361 0.639 0.625
S 0.639 0.361 0.375
S 0.861 0.139 0.875